Here is a geometry-optimized LiMg6Pb2 structure from the Alexandria database. Energies are from PBE.

Cell lengths 3.556, 8.696, 8.696 Å; angles 125.08, 84.15, 84.15 degrees
Sites, in units of the cell vectors:
Pb  0.500  0.841  0.159
Mg  0.327  0.335  0.335
Mg  0.178  0.501  0.828
Mg  0.822  0.499  0.172
Pb  0.500  0.159  0.841
Mg  0.822  0.172  0.499
Mg  0.673  0.665  0.665
Mg  0.178  0.828  0.501
Li  0.000  0.000  0.000

## Properties
- Symmetry: No. 12
- Final energy: -2.15 eV per atom
- Energy relative to the lowest polymorph listed for this composition: 0.033 eV/atom
- Formation energy: -46 meV per atom



Here is a geometry-optimized NiAsCl2 structure from the Alexandria database. Energies are from PBE.

Cell lengths 3.175, 5.365, 5.455 Å; angles 58.82, 90.00, 90.00 degrees
Sites, in units of the cell vectors:
As  0.500  0.750  0.750
Cl  0.000  0.087  0.082
Ni  0.500  0.250  0.250
Cl  0.000  0.413  0.418

## Properties
- Symmetry: No. 10
- Final energy: -3.49 eV per atom
- Uncorrected formation energy: 0.040 eV/atom
- Energy relative to the lowest polymorph listed for this composition: 0.497 eV/atom



Here is a geometry-optimized Sc2UTa3N6 structure from the Alexandria database. Energies are from PBE.

Cell lengths 5.543, 5.543, 5.512 Å; angles 99.67, 99.67, 120.17 degrees
Sites, in units of the cell vectors:
N  0.249  0.249  0.736
U  0.000  0.000  0.000
N  0.915  0.577  0.744
N  0.751  0.751  0.264
N  0.577  0.915  0.744
Sc  0.666  0.334  0.000
N  0.085  0.423  0.256
N  0.423  0.085  0.256
Ta  0.175  0.825  0.500
Sc  0.334  0.666  0.000
Ta  0.500  0.500  0.500
Ta  0.825  0.175  0.500

## Properties
- Symmetry: No. 12
- Final energy: -10.55 eV per atom
- Uncorrected formation energy: -1.431 eV/atom



> The lowest final energy belongs to which entry?

Sc2UTa3N6



Please write out number 2 again, unchanged.
Here is a geometry-optimized NiAsCl2 structure from the Alexandria database. Energies are from PBE.

Cell lengths 3.175, 5.365, 5.455 Å; angles 58.82, 90.00, 90.00 degrees
Sites, in units of the cell vectors:
As  0.500  0.750  0.750
Cl  0.000  0.087  0.082
Ni  0.500  0.250  0.250
Cl  0.000  0.413  0.418

## Properties
- Symmetry: No. 10
- Final energy: -3.49 eV per atom
- Uncorrected formation energy: 0.040 eV/atom
- Energy relative to the lowest polymorph listed for this composition: 0.497 eV/atom